(1)
Computed, not measured: an optimized crystal structure of Pm4SmGa2 at the GGA-PBE level of DFT.

Cell lengths 10.5657, 10.5657, 10.5657 Å; angles 27.69, 27.69, 27.69 degrees
With the nearest neighbours (Å) after each atom.
Fractional positions:
Pm 0.1028 0.1028 0.1028  3 Ga 3.11
Pm 0.2979 0.2979 0.2979  4 Ga 3.07-3.13
Pm 0.7021 0.7021 0.7021  4 Ga 3.07-3.13
Pm 0.8972 0.8972 0.8972  3 Ga 3.11
Sm 0.5000 0.5000 0.5000  2 Ga 3.03
Ga 0.4005 0.4005 0.4005  1 Sm 3.03, 7 Pm 3.07-3.13
Ga 0.5995 0.5995 0.5995  1 Sm 3.03, 7 Pm 3.07-3.13

Output
For the formation enthalpy at 0 K, the calculation gives -0.10 eV per atom. For the density of states at the Fermi level, the calculation gives 11.6 states/eV/cell. The mass density is 6.43 Mg/m³.

(2)
Computed, not measured: an optimized crystal structure of LiEr2TmTl4 at the GGA-PBE level of DFT.

Cell lengths 9.2359, 9.2359, 9.2359 Å; angles 32.71, 32.71, 32.71 degrees
With the nearest neighbours (Å) after each atom.
Fractional positions:
Li 0.0000 0.0000 0.0000  8 Tl 3.18-3.22
Er 0.2539 0.2539 0.2539  8 Tl 3.12-3.43
Er 0.7461 0.7461 0.7461  8 Tl 3.12-3.43
Tm 0.5000 0.5000 0.5000  8 Tl 3.21-3.33
Tl 0.1230 0.1230 0.1230  4 Er 3.21-3.43, 3 Tm 3.21, 1 Li 3.22
Tl 0.3729 0.3729 0.3729  4 Er 3.12-3.18, 3 Li 3.18, 1 Tm 3.33
Tl 0.6271 0.6271 0.6271  4 Er 3.12-3.18, 3 Li 3.18, 1 Tm 3.33
Tl 0.8770 0.8770 0.8770  4 Er 3.21-3.43, 3 Tm 3.21, 1 Li 3.22

Output
For the formation enthalpy at 0 K, the calculation gives -0.30 eV per atom. For the density of states at the Fermi level, the calculation gives 4.5 states/eV/cell. The mass density is 10.77 Mg/m³.

(3)
Computed, not measured: an optimized crystal structure of TaAlHg2 at the GGA-PBE level of DFT.

Cell lengths 9.9816, 9.9816, 9.9816 Å; angles 17.66, 17.66, 17.66 degrees
With the nearest neighbours (Å) after each atom.
Fractional positions:
Ta 0.0000 0.0000 0.0000  3 Al 2.80, 3 Hg 3.01, 6 Ta 3.06
Al 0.2595 0.2595 0.2595  3 Ta 2.80, 3 Hg 3.01, 6 Al 3.06
Hg 0.5101 0.5101 0.5101  3 Al 3.01, 9 Hg 3.06-3.30
Hg 0.7491 0.7491 0.7491  3 Ta 3.01, 9 Hg 3.06-3.30

Output
For the formation enthalpy at 0 K, the calculation gives 0.20 eV per atom. For the density of states at the Fermi level, the calculation gives 3.8 states/eV/cell. The mass density is 12.67 Mg/m³.

(4)
Computed, not measured: an optimized crystal structure of SmGaCu2Pt4 at the GGA-PBE level of DFT.

Cell lengths 8.4870, 8.4870, 8.4870 Å; angles 29.80, 29.80, 29.80 degrees
With the nearest neighbours (Å) after each atom.
Fractional positions:
Sm 0.0000 0.0000 0.0000  8 Pt 2.99-3.16, 6 Cu 3.26
Ga 0.5000 0.5000 0.5000  8 Pt 2.45-2.67
Cu 0.2482 0.2482 0.2482  6 Pt 2.56-2.74
Cu 0.7518 0.7518 0.7518  6 Pt 2.56-2.74
Pt 0.1298 0.1298 0.1298  3 Ga 2.67, 4 Cu 2.74-2.88, 3 Pt 2.96
Pt 0.3992 0.3992 0.3992  1 Ga 2.45, 3 Cu 2.56
Pt 0.6008 0.6008 0.6008  1 Ga 2.45, 3 Cu 2.56
Pt 0.8702 0.8702 0.8702  3 Ga 2.67, 4 Cu 2.74-2.88, 3 Pt 2.96

Output
For the formation enthalpy at 0 K, the calculation gives -0.56 eV per atom. For the density of states at the Fermi level, the calculation gives 3.0 states/eV/cell. The mass density is 14.00 Mg/m³.

(5)
Computed, not measured: an optimized crystal structure of NbAlIr at the GGA-PBE level of DFT.

Cell lengths 5.8110, 5.8110, 5.8110 Å; angles 150.81, 150.81, 41.75 degrees
With the nearest neighbours (Å) after each atom.
Fractional positions:
Nb 0.0000 0.0000 0.0000  4 Ir 2.81, 4 Al 2.87, 4 Nb 2.93
Al 0.3172 0.3172 0.0000  4 Ir 2.58, 4 Nb 2.87
Ir 0.6754 0.6754 0.0000  4 Al 2.58, 4 Nb 2.81

Output
For the formation enthalpy at 0 K, the calculation gives -0.64 eV per atom. For the density of states at the Fermi level, the calculation gives 1.8 states/eV/cell. The mass density is 11.13 Mg/m³.

(6)
Computed, not measured: an optimized crystal structure of Sr2HfSnO6 at the GGA-PBE level of DFT.

Cell lengths 5.8313, 5.8313, 5.8313 Å; angles 60.00, 60.00, 60.00 degrees
With the nearest neighbours (Å) after each atom.
Fractional positions:
Sr 0.2500 0.2500 0.2500  12 O 2.92
Sr 0.7500 0.7500 0.7500  12 O 2.92
Hf 0.0000 0.0000 0.0000  6 O 2.06
Sn 0.5000 0.5000 0.5000  6 O 2.06
O 0.2500 0.2500 0.7500  1 Hf 2.06, 1 Sn 2.06
O 0.2500 0.7500 0.2500  1 Hf 2.06, 1 Sn 2.06
O 0.2500 0.7500 0.7500  1 Hf 2.06, 1 Sn 2.06
O 0.7500 0.2500 0.2500  1 Hf 2.06, 1 Sn 2.06
O 0.7500 0.2500 0.7500  1 Hf 2.06, 1 Sn 2.06
O 0.7500 0.7500 0.2500  1 Hf 2.06, 1 Sn 2.06

Output
For the density of states at the Fermi level, the calculation gives 0.0 states/eV/cell. The mass density is 6.73 Mg/m³. The calculation puts the polymorph energy (0 for the lowest one) at 29.9 meV/atom.